Entry 1:
This record from the Alexandria database describes a relaxed structure of LaPtF2. The functional is PBE-GGA.

Output
* energy above the lowest structure with this stoichiometry: 0.118 eV per atom
* total magnetization: 0.1856 μB per atom
* mass density: 9.6 Mg/m³
* formation energy without anion corrections: -1.973 eV/atom

a = 4.5010 Å, b = 4.5010 Å, c = 4.5010 Å
α = 60.00°, β = 60.00°, γ = 60.00°
Last column: nearest neighbours and their distance in Å.
Fractional coordinates of all 4 atoms:
La (0.0000, 0.0000, 0.0000)  8 F 2.76
F (0.7500, 0.7500, 0.7500)  4 La 2.76, 4 Pt 2.76
F (0.2500, 0.2500, 0.2500)  4 Pt 2.76, 4 La 2.76
Pt (0.5000, 0.5000, 0.5000)  8 F 2.76

---

Entry 2:
This record from the Alexandria database describes a relaxed structure of InIr. The functional is PBE-GGA.

Output
* energy of formation: 0.161 eV per atom
* total magnetization: 0.0000 μB per atom
* mass density: 13.5 Mg/m³

a = 3.0957 Å, b = 3.1256 Å, c = 7.8228 Å
α = 90.00°, β = 90.00°, γ = 90.00°
Last column: nearest neighbours and their distance in Å.
Fractional coordinates of all 4 atoms:
Ir (0.0000, 0.0000, 0.4771)  6 In 2.73-2.76
Ir (0.0000, 0.5000, 0.9771)  6 In 2.73-2.76
In (0.5000, 0.0000, 0.1902)  6 Ir 2.73-2.76
In (0.5000, 0.5000, 0.6902)  6 Ir 2.73-2.76

---

Entry 3:
This record from the Alexandria database describes a relaxed structure of BaTc2Ag. The functional is PBE-GGA.

Output
* energy above the lowest structure with this stoichiometry: 0.464 eV per atom
* energy of formation: 0.892 eV per atom
* total magnetization: 0.0000 μB per atom
* mass density: 8.0 Mg/m³

a = 2.8933 Å, b = 4.5434 Å, c = 6.9490 Å
α = 90.00°, β = 90.00°, γ = 90.00°
Last column: nearest neighbours and their distance in Å.
Fractional coordinates of all 4 atoms:
Tc (0.0000, 0.0000, 0.0897)  1 Tc 2.23
Tc (0.0000, 0.0000, 0.4103)  1 Tc 2.23
Ag (0.5000, 0.5000, 0.2500)  2 Ag 2.89, 8 Tc 2.91
Ba (0.5000, 0.5000, 0.7500)  2 Ba 2.89

---

Entry 4:
This record from the Alexandria database describes a relaxed structure of CaThMgAl. The functional is PBE-GGA.

Output
* energy of formation: -0.066 eV per atom
* total magnetization: 0.0000 μB per atom
* mass density: 5.0 Mg/m³

a = 5.3364 Å, b = 5.3364 Å, c = 5.3364 Å
α = 60.00°, β = 60.00°, γ = 60.00°
Last column: nearest neighbours and their distance in Å.
Fractional coordinates of all 4 atoms:
Al (0.2500, 0.2500, 0.2500)  4 Th 3.27, 4 Ca 3.27
Ca (0.0000, 0.0000, 0.0000)  4 Al 3.27, 4 Mg 3.27
Th (0.5000, 0.5000, 0.5000)  4 Mg 3.27, 4 Al 3.27
Mg (0.7500, 0.7500, 0.7500)  4 Th 3.27, 4 Ca 3.27

---

Entry 5:
This record from the Alexandria database describes a relaxed structure of AlHg2Sb. The functional is PBE-GGA.

Output
* energy above the lowest structure with this stoichiometry: 0.125 eV per atom
* total magnetization: 0.0000 μB per atom
* mass density: 9.6 Mg/m³
* formation energy without anion corrections: 0.190 eV/atom

a = 3.2675 Å, b = 3.2675 Å, c = 8.8835 Å
α = 90.00°, β = 90.00°, γ = 90.00°
Last column: nearest neighbours and their distance in Å.
Fractional coordinates of all 4 atoms:
Sb (0.5000, 0.5000, 0.2500)  4 Sb 3.27, 8 Hg 3.41
Al (0.5000, 0.5000, 0.7500)  8 Hg 3.01, 4 Al 3.27
Hg (0.0000, 0.0000, 0.9680)  4 Al 3.01, 4 Hg 3.27
Hg (0.0000, 0.0000, 0.5320)  4 Al 3.01, 4 Hg 3.27

---

Entry 6:
This record from the Alexandria database describes a relaxed structure of Y2Ho7Tm4. The functional is PBE-GGA.

Output
* energy of formation: 0.190 eV per atom
* total magnetization: 0.0000 μB per atom
* mass density: 8.1 Mg/m³

a = 6.0219 Å, b = 6.0219 Å, c = 13.1446 Å
α = 90.00°, β = 90.00°, γ = 120.00°
Last column: nearest neighbours and their distance in Å.
Fractional coordinates of all 13 atoms:
Y (0.6667, 0.3333, 0.0000)  9 Ho 3.46-3.48, 3 Y 3.48
Y (0.3333, 0.6667, 0.0000)  9 Ho 3.46-3.48, 3 Y 3.48
Ho (0.6454, 0.0000, 0.7825)  1 Tm 3.16, 4 Ho 3.37, 2 Y 3.46
Ho (0.6453, 0.6453, 0.2175)  1 Tm 3.16, 4 Ho 3.37, 2 Y 3.46
Ho (0.0000, 0.3547, 0.2175)  1 Tm 3.16, 4 Ho 3.37, 2 Y 3.46
Ho (0.3546, 0.0000, 0.2175)  1 Tm 3.16, 4 Ho 3.37, 2 Y 3.46
Ho (0.0000, 0.6453, 0.7825)  1 Tm 3.16, 4 Ho 3.37, 2 Y 3.46
Ho (0.0000, 0.0000, 0.0000)  6 Y 3.48, 6 Ho 3.57
Ho (0.3547, 0.3547, 0.7825)  1 Tm 3.16, 4 Ho 3.37, 2 Y 3.46
Tm (0.3333, 0.6667, 0.5000)  9 Tm 3.48-3.74
Tm (0.6667, 0.3333, 0.5000)  9 Tm 3.48-3.74
Tm (0.0000, 0.0000, 0.3944)  1 Tm 2.78
Tm (0.0000, 0.0000, 0.6056)  1 Tm 2.78

---

Entry 7:
This record from the Alexandria database describes a relaxed structure of NiBiC. The functional is PBE-GGA.

Output
* energy above the lowest structure with this stoichiometry: 0.030 eV per atom
* energy of formation: 0.850 eV per atom
* total magnetization: 0.0000 μB per atom
* mass density: 9.5 Mg/m³

a = 3.2907 Å, b = 5.1779 Å, c = 3.2903 Å
α = 90.00°, β = 119.42°, γ = 90.00°
Last column: nearest neighbours and their distance in Å.
Fractional coordinates of all 3 atoms:
Bi (0.0191, 0.0000, 0.2534)  2 C 2.70
C (0.8831, 0.5000, 0.3814)  3 Ni 1.89-1.91
Ni (0.5507, 0.5000, 0.7136)  3 C 1.89-1.91

---

Entry 8:
This record from the Alexandria database describes a relaxed structure of Nd12HgRh6. The functional is PBE-GGA.

Output
* energy above the lowest structure with this stoichiometry: 0.000 eV per atom
* energy of formation: -0.501 eV per atom
* total magnetization: 0.0000 μB per atom
* mass density: 8.0 Mg/m³

a = 8.8308 Å, b = 8.8308 Å, c = 8.8308 Å
α = 109.47°, β = 109.47°, γ = 109.47°
Last column: nearest neighbours and their distance in Å.
Fractional coordinates of all 19 atoms:
Hg (0.0000, 0.0000, 0.0000)  12 Nd 3.64
Nd (0.5098, 0.8141, 0.6956)  1 Rh 2.73
Nd (0.8141, 0.6956, 0.5098)  1 Rh 2.73
Nd (0.6956, 0.5098, 0.8141)  1 Rh 2.73
Nd (0.8815, 0.1859, 0.6956)  1 Rh 2.73
Nd (0.8141, 0.3044, 0.1185)  1 Rh 2.73
Nd (0.1859, 0.6956, 0.8815)  1 Rh 2.73
Nd (0.1859, 0.3044, 0.4902)  1 Rh 2.73
Nd (0.6956, 0.8815, 0.1859)  1 Rh 2.73
Nd (0.4902, 0.1859, 0.3044)  1 Rh 2.73
Nd (0.3044, 0.1185, 0.8141)  1 Rh 2.73
Nd (0.1185, 0.8141, 0.3044)  1 Rh 2.73
Nd (0.3044, 0.4902, 0.1859)  1 Rh 2.73
Rh (0.5000, 0.8682, 0.3682)  1 Rh 2.69, 2 Nd 2.73
Rh (0.5000, 0.1318, 0.6318)  1 Rh 2.69, 2 Nd 2.73
Rh (0.8682, 0.3682, 0.5000)  1 Rh 2.69, 2 Nd 2.73
Rh (0.6318, 0.5000, 0.1318)  1 Rh 2.69, 2 Nd 2.73
Rh (0.1318, 0.6318, 0.5000)  1 Rh 2.69, 2 Nd 2.73
Rh (0.3682, 0.5000, 0.8682)  1 Rh 2.69, 2 Nd 2.73